Record 1
VASP calculation (GGA-PBE) on Ta2IN after structural relaxation.

Geometry as POSCAR:
```
Ta2IN
1.0
0.0000 3.1832 3.1832
3.1832 0.0000 3.1832
3.1832 3.1832 0.0000
I Ta N
1 2 1
Direct
0.5000 0.5000 0.5000
0.7500 0.7500 0.7500
0.2500 0.2500 0.2500
0.0000 0.0000 0.0000
```

Results
Total moment: 1.38 Bohr magnetons per cell
Space group: No. 225
Energy relative to the elements, uncorrected: 1.2109 eV per atom
Calculated volume: 16.13 Å³/atom


Record 2
VASP calculation (GGA-PBE) on TaI2N after structural relaxation.

Geometry as POSCAR:
```
TaI2N
1.0
6.4568 0.0000 0.0000
0.0000 6.4568 0.0000
3.2284 3.2284 4.8310
I Ta N
4 2 2
Direct
0.3750 0.3991 0.7500
0.1491 0.6250 0.2500
0.8750 0.8509 0.7500
0.6009 0.1250 0.2500
0.0000 0.0000 0.0000
0.7500 0.2500 0.5000
0.2500 0.7500 0.5000
0.5000 0.5000 0.0000
```

Results
Total moment: 0.00 Bohr magnetons per cell
Space group: No. 122
Relative energy among the computed polymorphs: 135 meV per atom
Energy relative to the elements, uncorrected: 1.6121 eV per atom
Calculated volume: 25.18 Å³/atom


Record 3
VASP calculation (GGA-PBE) on TaI2N2 after structural relaxation.

Geometry as POSCAR:
```
TaI2N2
1.0
5.7005 0.0000 0.0000
0.0000 5.7005 0.0000
0.0000 0.0000 3.9193
I N Ta
2 2 1
Direct
0.5000 0.0000 0.0000
0.0000 0.5000 0.0000
0.5000 0.5000 0.5000
0.0000 0.0000 0.5000
0.0000 0.0000 0.0000
```

Results
Total moment: 2.98 Bohr magnetons per cell
Space group: No. 123
Relative energy among the computed polymorphs: 312 meV per atom
Energy relative to the elements, uncorrected: 0.9592 eV per atom
Calculated volume: 25.47 Å³/atom


Record 4
VASP calculation (GGA-PBE) on TaI2N after structural relaxation.

Geometry as POSCAR:
```
TaI2N
1.0
0.0000 3.3893 3.3893
3.3893 0.0000 3.3893
3.3893 3.3893 0.0000
I Ta N
2 1 1
Direct
0.7500 0.7500 0.7500
0.2500 0.2500 0.2500
0.5000 0.5000 0.5000
0.0000 0.0000 0.0000
```

Results
Total moment: 0.00 Bohr magnetons per cell
Space group: No. 225
Relative energy among the computed polymorphs: 0 meV per atom
Energy relative to the elements, uncorrected: 1.4775 eV per atom
Calculated volume: 19.47 Å³/atom


Record 5
VASP calculation (GGA-PBE) on TaTcIN2 after structural relaxation.

Geometry as POSCAR:
```
TaTcIN2
1.0
-3.7669 1.1212 -0.4102
-1.0638 -3.7683 -0.5318
-0.7578 -0.5543 5.4437
Tc Ta N I
1 1 2 1
Direct
0.0000 0.0000 0.0000
0.5000 0.5000 0.5000
0.5000 0.0000 0.0000
0.0000 0.5000 0.0000
0.0000 0.0000 0.5000
```

Results
Total moment: 2.29 Bohr magnetons per cell
Space group: No. 123
Relative energy among the computed polymorphs: 493 meV per atom
Energy relative to the elements, uncorrected: 1.4398 eV per atom
Calculated volume: 17.25 Å³/atom


Record 6
VASP calculation (GGA-PBE) on TaTcIN2 after structural relaxation.

Geometry as POSCAR:
```
TaTcIN2
1.0
-1.7345 2.5450 -2.6123
-2.4843 -2.9423 -1.2168
-3.8557 1.5659 4.0856
Tc Ta N I
1 1 2 1
Direct
0.5000 0.5000 0.5000
0.0000 0.0000 0.0000
0.0000 0.5000 0.0000
0.5000 0.0000 0.0000
0.0000 0.0000 0.5000
```

Results
Total moment: 3.85 Bohr magnetons per cell
Space group: No. 123
Relative energy among the computed polymorphs: 0 meV per atom
Energy relative to the elements, uncorrected: 0.9472 eV per atom
Calculated volume: 19.02 Å³/atom


Record 7
VASP calculation (GGA-PBE) on TaTe2IN after structural relaxation.

Geometry as POSCAR:
```
TaTe2IN
1.0
4.7894 0.0000 0.0000
0.0000 4.7894 0.0000
0.0000 0.0000 4.6288
Te Ta I N
2 1 1 1
Direct
0.5000 0.0000 0.0000
0.0000 0.5000 0.0000
0.5000 0.5000 0.5000
0.0000 0.0000 0.5000
0.0000 0.0000 0.0000
```

Results
Total moment: 0.00 Bohr magnetons per cell
Space group: No. 123
Relative energy among the computed polymorphs: 1041 meV per atom
Energy relative to the elements, uncorrected: 1.2201 eV per atom
Calculated volume: 21.24 Å³/atom


Record 8
VASP calculation (GGA-PBE) on TaTe2IN after structural relaxation.

Geometry as POSCAR:
```
TaTe2IN
1.0
-4.3739 -0.9297 -2.9980
-1.3526 -4.0819 3.2391
-3.0308 3.6219 3.2986
Te N Ta I
2 1 1 1
Direct
0.5000 0.0000 0.0000
0.0000 0.5000 0.0000
0.5000 0.5000 0.5000
0.0000 0.0000 0.0000
0.0000 0.0000 0.5000
```

Results
Total moment: 2.96 Bohr magnetons per cell
Space group: No. 123
Relative energy among the computed polymorphs: 894 meV per atom
Energy relative to the elements, uncorrected: 1.0728 eV per atom
Calculated volume: 33.39 Å³/atom